[1]
Here is an optimized crystal structure of Ca2CrAuS from the Alexandria database. Energies are from GGA-PBE.

The structure in POSCAR format:
```
Ca2CrAuS
1.0
5.675 0.000 0.000
0.000 5.675 0.000
0.000 0.000 4.846
Ca Cr Au S
2 1 1 1
Direct
0.000 0.500 0.000
0.500 0.000 0.000
0.000 0.000 0.500
0.500 0.500 0.000
0.500 0.500 0.500
```

Output
**Energy relative to the elements, uncorrected**: 213 meV/atom
**E_tot**: -3.994 eV/atom
**Symmetry**: No. 123

[2]
Here is an optimized crystal structure of CaCrSbAu2 from the Alexandria database. Energies are from GGA-PBE.

The structure in POSCAR format:
```
CaCrSbAu2
1.0
5.197 0.000 0.000
0.000 5.197 0.000
0.000 0.000 5.408
Ca Cr Sb Au
1 1 1 2
Direct
0.000 0.000 0.000
0.000 0.000 0.500
0.500 0.500 0.500
0.000 0.500 0.000
0.500 0.000 0.000
```

Output
**Energy relative to the elements, uncorrected**: 976 meV/atom
**E_tot**: -3.485 eV/atom
**Symmetry**: No. 123

- energy relative to the elements, uncorrected of number 2 (CaCrSbAu2)?
  976 meV/atom

- energy relative to the elements, uncorrected of number 1 (Ca2CrAuS)?
  213 meV/atom

- Among the records above, which one has the highest E_tot?
  CaCrSbAu2

- Look up the E_tot of the first one.
  -3.994 eV/atom